Record 1
{"formula": "Dy2B4O9", "functional": "GGA-PBEsol", "state": "optimized geometry", "raw_formation_energy_ev_per_atom": -2.94, "total_energy_ev_per_cell": -258.798, "lattice": [[6.117, 0.000, 0.000], [-1.381, 6.221, 0.000], [-0.951, -1.883, 7.147]], "species": ["Dy", "Dy", "Dy", "Dy", "B", "B", "B", "B", "B", "B", "B", "B", "O", "O", "O", "O", "O", "O", "O", "O", "O", "O", "O", "O", "O", "O", "O", "O", "O", "O"], "frac_coords": [[0.050, 0.091, 0.287], [0.387, 0.676, 0.359], [0.613, 0.324, 0.641], [0.950, 0.909, 0.713], [0.125, 0.356, 0.650], [0.161, 0.684, 0.927], [0.233, 0.334, 0.981], [0.496, 0.144, 0.191], [0.504, 0.856, 0.809], [0.767, 0.666, 0.019], [0.839, 0.316, 0.073], [0.875, 0.644, 0.350], [0.004, 0.792, 0.022], [0.036, 0.538, 0.748], [0.082, 0.819, 0.447], [0.265, 0.263, 0.787], [0.276, 0.574, 0.041], [0.280, 0.407, 0.522], [0.311, 0.872, 0.879], [0.363, 0.285, 0.145], [0.431, 0.043, 0.326], [0.569, 0.957, 0.674], [0.637, 0.715, 0.855], [0.689, 0.128, 0.121], [0.720, 0.593, 0.478], [0.724, 0.426, 0.959], [0.735, 0.737, 0.213], [0.918, 0.181, 0.553], [0.964, 0.462, 0.252], [0.996, 0.208, 0.978]]}



Record 2
{"formula": "ScZn2SnMo", "functional": "GGA-PBEsol", "state": "optimized geometry", "total_energy_ev_per_cell": -22.983, "e_form_ev_per_atom": 0.563, "lattice": [[4.766, 0.000, 0.000], [0.000, 4.766, 0.000], [0.000, 0.000, 5.015]], "species": ["Sc", "Zn", "Zn", "Sn", "Mo"], "frac_coords": [[0.000, 0.000, 0.000], [0.000, 0.500, 0.500], [0.500, 0.000, 0.500], [0.500, 0.500, 0.000], [0.500, 0.500, 0.500]]}



Record 3
{"formula": "ZnFe2", "functional": "GGA-PBEsol", "state": "optimized geometry", "total_energy_ev_per_cell": -76.819, "e_form_ev_per_atom": 0.101, "lattice": [[9.619, 0.000, 0.000], [0.000, 2.438, 0.000], [-1.581, 0.000, 5.961]], "species": ["Zn", "Zn", "Zn", "Zn", "Fe", "Fe", "Fe", "Fe", "Fe", "Fe", "Fe", "Fe"], "frac_coords": [[0.196, 0.000, 0.149], [0.304, 0.500, 0.851], [0.696, 0.500, 0.149], [0.804, 0.000, 0.851], [0.030, 0.500, 0.808], [0.134, 0.000, 0.519], [0.366, 0.500, 0.481], [0.470, 0.000, 0.192], [0.530, 0.000, 0.808], [0.634, 0.500, 0.519], [0.866, 0.000, 0.481], [0.970, 0.500, 0.192]]}